Here is Ho6Al43Mo4 at its PBEsol-relaxed geometry from Alexandria via LeMat-Bulk. Energies are from meta-GGA SCAN.

Cell lengths 10.901, 10.901, 17.582 Å; angles 90.00, 90.00, 120.00 degrees
Fractional positions:
Al1 0.606 0.843 0.836
Mo1 0.271 0.000 0.750
Al2 0.551 0.148 0.750
Ho1 0.468 0.000 0.595
Al3 0.148 0.596 0.250
Al4 0.843 0.237 0.164
Al5 0.000 0.746 0.530
Al6 0.000 0.746 0.970
Al7 0.763 0.606 0.336
Al8 0.753 0.506 0.000
Al9 0.404 0.852 0.750
Al10 0.746 0.746 0.030
Al11 0.596 0.148 0.250
Ho2 0.532 0.000 0.095
Al12 0.606 0.843 0.664
Al13 0.551 0.404 0.250
Ho3 0.000 0.468 0.595
Al14 0.394 0.157 0.164
Ho4 0.532 0.532 0.905
Al15 0.506 0.753 0.500
Ho5 0.468 0.000 0.905
Ho6 0.532 0.532 0.595
Al16 0.333 0.667 0.875
Al17 0.853 0.853 0.250
Al18 0.753 0.506 0.500
Al19 0.667 0.333 0.125
Al20 0.237 0.843 0.164
Mo2 0.000 0.000 0.500
Al21 0.394 0.157 0.336
Al22 0.746 0.746 0.470
Al23 0.254 0.000 0.470
Al24 0.157 0.394 0.336
Al25 0.000 0.159 0.615
Ho7 0.000 0.532 0.405
Al26 0.843 0.606 0.836
Al27 0.404 0.551 0.250
Al28 0.843 0.237 0.336
Al29 0.449 0.852 0.250
Al30 0.853 0.000 0.750
Al31 0.852 0.449 0.250
Al32 0.237 0.394 0.664
Al33 0.746 0.000 0.970
Al34 0.506 0.753 0.000
Mo3 0.000 0.271 0.750
Al35 0.247 0.494 0.000
Mo4 0.000 0.729 0.250
Al36 0.254 0.000 0.030
Al37 0.746 0.000 0.530
Al38 0.494 0.247 0.500
Al39 0.841 0.000 0.385
Al40 0.000 0.254 0.030
Al41 0.763 0.157 0.664
Al42 0.000 0.147 0.250
Al43 0.247 0.753 0.500
Al44 0.157 0.394 0.164
Al45 0.237 0.394 0.836
Al46 0.000 0.159 0.885
Mo5 0.729 0.729 0.750
Al47 0.000 0.853 0.750
Al48 0.159 0.159 0.115
Al49 0.254 0.254 0.970
Al50 0.763 0.157 0.836
Ho8 0.468 0.468 0.095
Ho9 0.000 0.532 0.095
Al51 0.148 0.551 0.750
Al52 0.763 0.606 0.164
Al53 0.147 0.000 0.250
Al54 0.667 0.333 0.875
Al55 0.606 0.763 0.164
Ho10 0.468 0.468 0.405
Al56 0.753 0.247 0.000
Al57 0.237 0.843 0.336
Al58 0.000 0.841 0.115
Al59 0.494 0.247 0.000
Al60 0.841 0.000 0.115
Al61 0.147 0.147 0.750
Ho11 0.532 0.000 0.405
Al62 0.606 0.763 0.336
Al63 0.254 0.254 0.530
Al64 0.596 0.449 0.750
Al65 0.841 0.841 0.615
Al66 0.000 0.841 0.385
Al67 0.753 0.247 0.500
Al68 0.159 0.159 0.385
Al69 0.159 0.000 0.615
Al70 0.247 0.494 0.500
Al71 0.333 0.667 0.375
Ho12 0.000 0.468 0.905
Mo6 0.271 0.271 0.250
Al72 0.667 0.333 0.625
Mo7 0.000 0.000 0.000
Al73 0.157 0.763 0.664
Al74 0.000 0.254 0.470
Al75 0.449 0.596 0.750
Al76 0.247 0.753 0.000
Al77 0.333 0.667 0.625
Al78 0.667 0.333 0.375
Al79 0.159 0.000 0.885
Al80 0.841 0.841 0.885
Al81 0.843 0.606 0.664
Al82 0.157 0.763 0.836
Al83 0.394 0.237 0.664
Al84 0.852 0.404 0.750
Al85 0.394 0.237 0.836
Al86 0.333 0.667 0.125
Mo8 0.729 0.000 0.250

Values from the calculation:
E = -14.81 eV per atom
Symmetry = P6_3/mcm, No. 193
M_tot = 0.0 Bohr magnetons per cell